(1)
Pr2MgPb9: optimized geometry, GGA-PBE.

```
data_Pr2MgPb9
_chemical_formula_sum 'Pr2 Mg1 Pb9'
_cell_length_a 4.845
_cell_length_b 4.845
_cell_length_c 15.278
_cell_angle_alpha 90.00
_cell_angle_beta 90.00
_cell_angle_gamma 90.00
_space_group_name_H-M_alt 'P 1'
_space_group_IT_number 1
loop_
_space_group_symop_operation_xyz
'x,y,z'
loop_
_atom_site_label
_atom_site_type_symbol
_atom_site_fract_x
_atom_site_fract_y
_atom_site_fract_z
_atom_site_occupancy
Pr1 Pr 0.000 0.000 0.162 1
Pr2 Pr 0.000 0.000 0.838 1
Mg1 Mg 0.000 0.000 0.500 1
Pb1 Pb 0.000 0.500 0.000 1
Pb2 Pb 0.000 0.500 0.339 1
Pb3 Pb 0.000 0.500 0.661 1
Pb4 Pb 0.500 0.000 0.000 1
Pb5 Pb 0.500 0.000 0.339 1
Pb6 Pb 0.500 0.000 0.661 1
Pb7 Pb 0.500 0.500 0.172 1
Pb8 Pb 0.500 0.500 0.500 1
Pb9 Pb 0.500 0.500 0.828 1
```

Total moment = 0.000 μB per formula unit


(2)
Pr2Mg2Pb3: optimized geometry, GGA-PBE.

```
data_Pr2Mg2Pb3
_chemical_formula_sum 'Pr4 Mg4 Pb6'
_cell_length_a 8.758
_cell_length_b 8.758
_cell_length_c 13.034
_cell_angle_alpha 125.19
_cell_angle_beta 125.19
_cell_angle_gamma 31.95
_space_group_name_H-M_alt 'P 1'
_space_group_IT_number 1
loop_
_space_group_symop_operation_xyz
'x,y,z'
loop_
_atom_site_label
_atom_site_type_symbol
_atom_site_fract_x
_atom_site_fract_y
_atom_site_fract_z
_atom_site_occupancy
Pr1 Pr 0.082 0.082 0.429 1
Pr2 Pr 0.235 0.235 0.832 1
Pr3 Pr 0.765 0.765 0.168 1
Pr4 Pr 0.918 0.918 0.571 1
Mg1 Mg 0.096 0.096 0.170 1
Mg2 Mg 0.451 0.451 0.181 1
Mg3 Mg 0.549 0.549 0.819 1
Mg4 Mg 0.904 0.904 0.830 1
Pb1 Pb 0.128 0.128 0.972 1
Pb2 Pb 0.324 0.324 0.656 1
Pb3 Pb 0.399 0.399 0.369 1
Pb4 Pb 0.601 0.601 0.631 1
Pb5 Pb 0.676 0.676 0.344 1
Pb6 Pb 0.872 0.872 0.028 1
```

Total moment = 0.000 μB per formula unit


(3)
Pr2Mg16Pb: optimized geometry, GGA-PBE.

```
data_Pr2Mg16Pb
_chemical_formula_sum 'Pr2 Mg16 Pb1'
_cell_length_a 7.838
_cell_length_b 7.838
_cell_length_c 7.838
_cell_angle_alpha 82.64
_cell_angle_beta 82.64
_cell_angle_gamma 82.64
_space_group_name_H-M_alt 'P 1'
_space_group_IT_number 1
loop_
_space_group_symop_operation_xyz
'x,y,z'
loop_
_atom_site_label
_atom_site_type_symbol
_atom_site_fract_x
_atom_site_fract_y
_atom_site_fract_z
_atom_site_occupancy
Pr1 Pr 0.000 0.000 0.000 1
Pr2 Pr 0.343 0.343 0.343 1
Mg1 Mg 0.024 0.024 0.498 1
Mg2 Mg 0.024 0.498 0.024 1
Mg3 Mg 0.175 0.668 0.668 1
Mg4 Mg 0.323 0.323 0.830 1
Mg5 Mg 0.323 0.830 0.323 1
Mg6 Mg 0.360 0.670 0.980 1
Mg7 Mg 0.360 0.980 0.670 1
Mg8 Mg 0.498 0.024 0.024 1
Mg9 Mg 0.576 0.576 0.576 1
Mg10 Mg 0.668 0.175 0.668 1
Mg11 Mg 0.668 0.668 0.175 1
Mg12 Mg 0.670 0.360 0.980 1
Mg13 Mg 0.670 0.980 0.360 1
Mg14 Mg 0.830 0.323 0.323 1
Mg15 Mg 0.980 0.360 0.670 1
Mg16 Mg 0.980 0.670 0.360 1
Pb1 Pb 0.772 0.772 0.772 1
```

Total moment = 0.000 μB per formula unit


(4)
Pr3Mg2Pb4: optimized geometry, GGA-PBE.

```
data_Pr3Mg2Pb4
_chemical_formula_sum 'Pr3 Mg2 Pb4'
_cell_length_a 4.821
_cell_length_b 7.267
_cell_length_c 8.701
_cell_angle_alpha 110.11
_cell_angle_beta 106.04
_cell_angle_gamma 90.04
_space_group_name_H-M_alt 'P 1'
_space_group_IT_number 1
loop_
_space_group_symop_operation_xyz
'x,y,z'
loop_
_atom_site_label
_atom_site_type_symbol
_atom_site_fract_x
_atom_site_fract_y
_atom_site_fract_z
_atom_site_occupancy
Pr1 Pr 0.000 0.000 0.000 1
Pr2 Pr 0.131 0.612 0.262 1
Pr3 Pr 0.869 0.388 0.738 1
Mg1 Mg 0.331 0.005 0.663 1
Mg2 Mg 0.669 0.995 0.337 1
Pb1 Pb 0.216 0.249 0.431 1
Pb2 Pb 0.487 0.697 0.973 1
Pb3 Pb 0.513 0.303 0.027 1
Pb4 Pb 0.784 0.751 0.569 1
```

Energy above the lowest structure with this stoichiometry = 0 meV/atom
Total moment = 0.000 μB per formula unit


(5)
PrMg2Pb: optimized geometry, GGA-PBE.

```
data_PrMg2Pb
_chemical_formula_sum 'Pr1 Mg2 Pb1'
_cell_length_a 4.681
_cell_length_b 4.681
_cell_length_c 4.914
_cell_angle_alpha 90.00
_cell_angle_beta 90.00
_cell_angle_gamma 90.00
_space_group_name_H-M_alt 'P 1'
_space_group_IT_number 1
loop_
_space_group_symop_operation_xyz
'x,y,z'
loop_
_atom_site_label
_atom_site_type_symbol
_atom_site_fract_x
_atom_site_fract_y
_atom_site_fract_z
_atom_site_occupancy
Pr1 Pr 0.000 0.000 0.000 1
Mg1 Mg 0.000 0.500 0.500 1
Mg2 Mg 0.500 0.000 0.500 1
Pb1 Pb 0.500 0.500 0.000 1
```

Energy above the lowest structure with this stoichiometry = 0 meV/atom
Total moment = 0.000 μB per formula unit


(6)
Pr3Mg2Pb: optimized geometry, GGA-PBE.

```
data_Pr3Mg2Pb
_chemical_formula_sum 'Pr3 Mg2 Pb1'
_cell_length_a 8.347
_cell_length_b 8.347
_cell_length_c 4.358
_cell_angle_alpha 90.00
_cell_angle_beta 90.00
_cell_angle_gamma 143.33
_space_group_name_H-M_alt 'P 1'
_space_group_IT_number 1
loop_
_space_group_symop_operation_xyz
'x,y,z'
loop_
_atom_site_label
_atom_site_type_symbol
_atom_site_fract_x
_atom_site_fract_y
_atom_site_fract_z
_atom_site_occupancy
Pr1 Pr 0.000 0.000 0.000 1
Pr2 Pr 0.335 0.665 0.000 1
Pr3 Pr 0.665 0.335 0.000 1
Mg1 Mg 0.173 0.827 0.500 1
Mg2 Mg 0.827 0.173 0.500 1
Pb1 Pb 0.500 0.500 0.500 1
```

Total moment = 0.000 μB per formula unit


no.,energy of formation (eV/atom)
1,-0.251
2,-0.366
3,-0.082
4,-0.424
5,-0.334
6,-0.270